The following is a DFT calculation (GGA+U) of crystalline LiMn2V3O8 at its relaxed geometry.

Results
For the total magnetization, the calculation gives 1.00 μB/atom. The calculation puts the density of states at the Fermi level at 5.49 states/eV/cell. For the raw total energy, the calculation gives -7.562 eV/atom. Its space group is R3m (160).

Lattice parameters (Å, degrees): 6.0068 6.0068 6.1632 60.84 60.84 60.00
With the nearest neighbours (Å) after each atom.
Fractional positions:
Li: 0.8782 0.8782 0.3655  4 O 2.02-2.14
V: 0.9923 0.5014 0.0050  6 O 1.97-2.08
V: 0.5014 0.5014 0.0050  6 O 1.97-2.08
O: 0.2602 0.2602 0.2193  3 V 2.08, 1 Mn 2.08
O: 0.7499 0.2868 0.2135  2 V 1.97, 1 Li 2.02, 1 Mn 2.17
O: 0.7383 0.7383 0.7851  3 V 2.04, 1 Li 2.14
V: 0.5014 0.9923 0.0050  6 O 1.97-2.08
Mn: 0.5002 0.5002 0.4995  6 O 2.17
Mn: 0.1241 0.1241 0.6277  4 O 2.06-2.08
O: 0.7499 0.7499 0.2135  2 V 1.97, 1 Li 2.02, 1 Mn 2.17
O: 0.2511 0.2511 0.7898  2 V 2.01, 2 Mn 2.06-2.17
O: 0.2511 0.7080 0.7898  2 V 2.01, 2 Mn 2.06-2.17
O: 0.2868 0.7499 0.2135  2 V 1.97, 1 Li 2.02, 1 Mn 2.17
O: 0.7080 0.2511 0.7898  2 V 2.01, 2 Mn 2.06-2.17